[1]
{"formula": "TaRh3", "functional": "meta-GGA SCAN", "state": "single point on PBEsol structure", "sg": "Pmmm", "ef_mev_per_atom": -403.4, "n_ef_per_ev_atom": 0.97, "lattice": [[2.767, 0.000, 0.000], [0.000, 3.793, 0.000], [0.000, 0.000, 5.480]], "species": ["Ta", "Rh", "Rh", "Rh"], "fractional_positions": [[0.000, 0.000, 0.000], [0.000, 0.000, 0.500], [0.500, 0.500, 0.258], [0.500, 0.500, 0.742]]}

[2]
{"formula": "ZnAsP2", "functional": "meta-GGA SCAN", "state": "single point on PBEsol structure", "sg": "Cm", "ef_mev_per_atom": 19.4, "n_ef_per_ev_atom": 0.16, "de_polymorph_mev_per_atom": 0.0, "lattice": [[3.996, -1.658, 0.000], [3.996, 1.658, 0.000], [-3.051, 0.000, 5.903]], "species": ["Zn", "As", "P", "P"], "fractional_positions": [[0.000, 0.000, 0.000], [0.339, 0.339, 0.128], [0.490, 0.490, 0.521], [0.843, 0.843, 0.600]]}